Entry 1:
First-principles (PBE) data for crystalline Er4Te2SN2 at its relaxed geometry, as listed in Alexandria.

## Properties
Crystal system: monoclinic
Energy (eV per atom): -6.70
N(E_F) (states/eV per atom): 0.03

Lattice parameters (Å, degrees): 3.946 7.844 7.155 105.79 90.00 104.57
Fractional coordinates of all 9 atoms:
Er 0.791 0.581 0.852
Er 0.209 0.419 0.148
Er 0.453 0.906 0.224
Er 0.547 0.094 0.776
Te 0.867 0.734 0.464
Te 0.133 0.266 0.536
S 0.000 0.000 0.000
N 0.325 0.650 0.011
N 0.675 0.350 0.989

Entry 2:
First-principles (PBE) data for crystalline Er8Te4S3N at its relaxed geometry, as listed in Alexandria.

## Properties
Crystal system: trigonal
Energy (eV per atom): -5.90
N(E_F) (states/eV per atom): 0.32

Lattice parameters (Å, degrees): 7.941 8.251 7.941 118.77 120.00 90.00
Fractional coordinates of all 16 atoms:
Er 0.218 0.693 0.975
Er 0.218 0.693 0.436
Er 0.266 0.298 0.532
Er 0.757 0.693 0.975
Er 0.243 0.307 0.025
Er 0.734 0.702 0.468
Er 0.782 0.307 0.564
Er 0.782 0.307 0.025
Te 0.500 0.000 0.000
Te 0.500 0.000 0.500
Te 0.000 0.000 0.000
Te 0.000 0.000 0.500
S 0.500 0.500 0.000
S 0.500 0.500 0.500
S 0.000 0.500 0.500
N 0.000 0.500 0.000

Entry 3:
First-principles (PBE) data for crystalline Er8Tl4S3N at its relaxed geometry, as listed in Alexandria.

## Properties
Crystal system: monoclinic
Energy (eV per atom): -5.27
N(E_F) (states/eV per atom): 0.50

Lattice parameters (Å, degrees): 7.507 8.895 7.499 114.89 120.03 90.00
Fractional coordinates of all 16 atoms:
Er 0.215 0.686 0.970
Er 0.216 0.686 0.431
Er 0.266 0.299 0.532
Er 0.755 0.686 0.970
Er 0.245 0.314 0.030
Er 0.734 0.701 0.468
Er 0.784 0.314 0.569
Er 0.785 0.314 0.030
Tl 0.500 0.000 0.000
Tl 0.500 0.000 0.500
Tl 0.000 0.000 0.000
Tl 0.000 0.000 0.500
S 0.500 0.500 0.000
S 0.500 0.500 0.500
S 0.000 0.500 0.500
N 0.000 0.500 0.000

Entry 4:
First-principles (PBE) data for crystalline ErTmSN at its relaxed geometry, as listed in Alexandria.

## Properties
Crystal system: trigonal
Energy (eV per atom): -7.25
N(E_F) (states/eV per atom): 0.29

Lattice parameters (Å, degrees): 3.567 3.567 6.510 74.10 74.10 60.00
Fractional coordinates of all 4 atoms:
Er 0.514 0.514 0.458
Tm 0.986 0.986 0.042
S 0.749 0.749 0.752
N 0.251 0.251 0.247

Entry 5:
First-principles (PBE) data for crystalline ErUSN2 at its relaxed geometry, as listed in Alexandria.

## Properties
Crystal system: tetragonal
Energy (eV per atom): -8.89
N(E_F) (states/eV per atom): 0.58

Lattice parameters (Å, degrees): 3.769 3.769 6.505 106.84 106.84 90.00
Fractional coordinates of all 5 atoms:
Er 0.849 0.849 0.698
U 0.158 0.158 0.316
S 0.503 0.503 0.006
N 0.745 0.245 0.490
N 0.245 0.745 0.490

Entry 6:
First-principles (PBE) data for crystalline YErSN at its relaxed geometry, as listed in Alexandria.

## Properties
Crystal system: trigonal
Energy (eV per atom): -7.73
N(E_F) (states/eV per atom): 0.29

Lattice parameters (Å, degrees): 3.604 3.604 6.579 74.10 74.10 60.00
Fractional coordinates of all 4 atoms:
Y 0.736 0.736 0.791
Er 0.264 0.264 0.207
S 0.501 0.501 0.496
N 0.998 0.998 0.006

Entry 7:
First-principles (PBE) data for crystalline Er4Sb2N at its relaxed geometry, as listed in Alexandria.

## Properties
Crystal system: monoclinic
E above lowest polymorph (meV per atom): 58.8
N(E_F) (states/eV per atom): 0.91

Lattice parameters (Å, degrees): 3.739 8.148 7.998 133.88 103.52 90.00
Fractional coordinates of all 7 atoms:
Er 0.940 0.204 0.880
Er 0.060 0.796 0.120
Er 0.638 0.228 0.276
Er 0.362 0.772 0.724
Sb 0.660 0.639 0.320
Sb 0.340 0.361 0.680
N 0.000 0.000 0.000

Entry 8:
First-principles (PBE) data for crystalline Er4Sb2N at its relaxed geometry, as listed in Alexandria.

## Properties
Crystal system: tetragonal
E above lowest polymorph (meV per atom): 0.0
N(E_F) (states/eV per atom): 0.86

Lattice parameters (Å, degrees): 4.577 4.577 8.614 105.40 105.40 90.00
Fractional coordinates of all 7 atoms:
Sb 0.643 0.643 0.286
Sb 0.357 0.357 0.714
N 0.000 0.000 0.000
Er 0.836 0.836 0.673
Er 0.164 0.164 0.327
Er 0.000 0.500 0.000
Er 0.500 0.000 0.000

Spin magnetization in Bohr magnetons per cell, matching the order above: 0.0, 0.0, 0.0, 0.0, 1.0, 0.0, 0.0, 0.0